Entry 1:
PrBi6 | GGA-PBE | relaxed

Cell and atoms, written as CIF:
```
data_PrBi6
_chemical_formula_sum 'Pr2 Bi12'
_cell_length_a 8.7354
_cell_length_b 8.7354
_cell_length_c 8.7354
_cell_angle_alpha 90.00
_cell_angle_beta 90.00
_cell_angle_gamma 90.00
_symmetry_space_group_name_H-M 'I m -3 m'
_symmetry_Int_Tables_number 229
_symmetry_space_group_name_Hall '-I 4 2 3'
loop_
_atom_site_label
_atom_site_type_symbol
_atom_site_fract_x
_atom_site_fract_y
_atom_site_fract_z
Pr1 Pr 0.0000 0.0000 0.0000
Bi1 Bi 0.0000 0.2500 0.5000
```

Properties
* ΔE_f: 496 meV per atom
* Fermi-level density of states: 9.2 states/eV/f.u.
* crystal system: cubic
* uncorrected energy: -49.2 eV/cell
* magnetic moment: 0.1613 μB per atom


Entry 2:
TiAl2V | GGA-PBE | relaxed

Cell and atoms, written as CIF:
```
data_TiAl2V
_chemical_formula_sum 'Ti1 Al2 V1'
_cell_length_a 2.7516
_cell_length_b 2.7516
_cell_length_c 8.0355
_cell_angle_alpha 90.00
_cell_angle_beta 90.00
_cell_angle_gamma 90.00
_symmetry_space_group_name_H-M 'P 4/m m m'
_symmetry_Int_Tables_number 123
_symmetry_space_group_name_Hall '-P 4 2'
loop_
_atom_site_label
_atom_site_type_symbol
_atom_site_fract_x
_atom_site_fract_y
_atom_site_fract_z
Ti1 Ti 0.0000 0.0000 0.0000
Al1 Al 0.5000 0.5000 0.2598
V1 V 0.0000 0.0000 0.5000
```

Properties
* ΔE_f: -306 meV per atom
* Fermi-level density of states: 3.3 states/eV/f.u.
* relative energy among the computed polymorphs: 1.0 kJ/mol of atoms
* crystal system: tetragonal
* uncorrected energy: -25.7 eV/cell
* magnetic moment: 0.0000 μB per atom


Entry 3:
KRuRh2 | GGA-PBE | relaxed

Cell and atoms, written as CIF:
```
data_KRuRh2
_chemical_formula_sum 'K2 Ru2 Rh4'
_cell_length_a 4.0983
_cell_length_b 4.0983
_cell_length_c 8.0097
_cell_angle_alpha 90.00
_cell_angle_beta 90.00
_cell_angle_gamma 90.00
_symmetry_space_group_name_H-M 'I -4 m 2'
_symmetry_Int_Tables_number 119
_symmetry_space_group_name_Hall 'I -4 -2'
loop_
_atom_site_label
_atom_site_type_symbol
_atom_site_fract_x
_atom_site_fract_y
_atom_site_fract_z
K1 K 0.0000 0.0000 0.0000
Ru1 Ru 0.0000 0.5000 0.2500
Rh1 Rh 0.0000 0.0000 0.5000
Rh2 Rh 0.0000 0.5000 0.7500
```

Properties
* ΔE_f: 1140 meV per atom
* Fermi-level density of states: 6.9 states/eV/f.u.
* relative energy among the computed polymorphs: 68.1 kJ/mol of atoms
* crystal system: tetragonal
* uncorrected energy: -41.0 eV/cell
* magnetic moment: 0.0193 μB per atom


Entry 4:
NaCuNiAs | GGA-PBE | relaxed

Cell and atoms, written as CIF:
```
data_NaCuNiAs
_chemical_formula_sum 'Na2 Cu2 Ni2 As2'
_cell_length_a 3.4999
_cell_length_b 3.4999
_cell_length_c 11.9825
_cell_angle_alpha 90.00
_cell_angle_beta 90.00
_cell_angle_gamma 90.00
_symmetry_space_group_name_H-M 'P 4/n m m'
_symmetry_Int_Tables_number 129
loop_
_symmetry_equiv_pos_as_xyz
'x,y,z'
'-x,-y,-z'
'-y+1/2,x,z'
'y+1/2,-x,-z'
'-x+1/2,-y+1/2,z'
'x+1/2,y+1/2,-z'
'y,-x+1/2,z'
'-y,x+1/2,-z'
'x+1/2,-y,-z'
'-x+1/2,y,z'
'-y,-x,-z'
'y,x,z'
'-x,y+1/2,-z'
'x,-y+1/2,z'
'y+1/2,x+1/2,-z'
'-y+1/2,-x+1/2,z'
loop_
_atom_site_label
_atom_site_type_symbol
_atom_site_fract_x
_atom_site_fract_y
_atom_site_fract_z
Na1 Na 0.2500 0.2500 0.2102
Cu1 Cu 0.2500 0.7500 0.0000
Ni1 Ni 0.2500 0.7500 0.5000
As1 As 0.2500 0.2500 0.6346
```

Properties
* ΔE_f: -51 meV per atom
* Fermi-level density of states: 3.0 states/eV/f.u.
* crystal system: tetragonal
* uncorrected energy: -32.1 eV/cell
* magnetic moment: 0.0000 μB per atom